# 1
This record from the Alexandria database describes KCaCoBi2 after structural relaxation. The functional is PBE.

POSCAR file:
```
KCaCoBi2
1.0
5.845 0.000 0.000
0.000 5.845 0.000
0.000 0.000 5.927
K Ca Co Bi
1 1 1 2
direct
0.000 0.000 0.000
0.000 0.000 0.500
0.500 0.500 0.000
0.000 0.500 0.500
0.500 0.000 0.500
```

## Properties
* density of states at the Fermi level: 2.058 states/eV per atom
* total moment: 2.395 μB/cell
* formation energy from the elements: 21.85 kcal/mol of atoms
* crystal system: tetragonal
* symmetry: No. 123


# 2
This record from the Alexandria database describes Cs5AgSeO2 after structural relaxation. The functional is PBE.

POSCAR file:
```
Cs5AgSeO2
1.0
5.966 0.000 0.000
0.000 5.966 0.000
0.000 0.000 9.922
Cs Ag Se O
5 1 1 2
direct
0.000 0.000 0.000
0.000 0.500 0.254
0.000 0.500 0.746
0.500 0.000 0.254
0.500 0.000 0.746
0.000 0.000 0.500
0.500 0.500 0.000
0.000 0.000 0.294
0.000 0.000 0.706
```

## Properties
* total moment: 0.000 μB/cell
* crystal system: tetragonal
* formation energy without anion corrections: -964.6 meV/atom
* symmetry: No. 123


# 3
This record from the Alexandria database describes LiCa7N2 after structural relaxation. The functional is PBE.

POSCAR file:
```
LiCa7N2
1.0
4.332 -8.788 0.000
4.332 8.788 0.000
0.000 0.000 4.005
Li Ca N
1 7 2
direct
0.000 0.000 0.000
0.098 0.357 0.500
0.295 0.705 0.000
0.357 0.098 0.500
0.500 0.500 0.500
0.643 0.902 0.500
0.705 0.295 0.000
0.902 0.643 0.500
0.366 0.634 0.500
0.634 0.366 0.500
```

## Properties
* density of states at the Fermi level: 0.647 states/eV per atom
* total moment: 0.000 μB/cell
* crystal system: orthorhombic
* formation energy without anion corrections: -335.4 meV/atom
* symmetry: No. 65


# 4
This record from the Alexandria database describes SmTm4Th after structural relaxation. The functional is PBE.

POSCAR file:
```
SmTm4Th
1.0
0.000 4.611 4.611
4.611 0.000 4.611
4.611 4.611 0.000
Sm Tm Th
1 4 1
direct
0.000 0.000 0.000
0.125 0.625 0.625
0.625 0.125 0.625
0.625 0.625 0.125
0.625 0.625 0.625
0.250 0.250 0.250
```

## Properties
* density of states at the Fermi level: 2.246 states/eV per atom
* total moment: 3.983 μB/cell
* formation energy from the elements: 7.54 kcal/mol of atoms
* crystal system: cubic
* symmetry: No. 216
* energy above the most stable polymorph in this dataset: 301 meV per atom


# 5
This record from the Alexandria database describes Ac2RePbO8 after structural relaxation. The functional is PBE.

POSCAR file:
```
Ac2RePbO8
1.0
4.875 0.000 0.000
-0.334 5.293 0.000
-0.563 -0.181 7.621
Ac Re Pb O
2 1 1 8
direct
0.101 0.013 0.271
0.899 0.987 0.729
0.500 0.500 0.500
0.500 0.500 0.000
0.197 0.176 0.981
0.197 0.285 0.548
0.307 0.593 0.281
0.366 0.771 0.630
0.634 0.229 0.370
0.693 0.407 0.719
0.803 0.715 0.452
0.803 0.824 0.019
```

## Properties
* density of states at the Fermi level: 0.192 states/eV per atom
* total moment: 0.000 μB/cell
* crystal system: triclinic
* formation energy without anion corrections: -2151.5 meV/atom
* symmetry: No. 2


# 6
This record from the Alexandria database describes PuGa5Pd2 after structural relaxation. The functional is PBE.

POSCAR file:
```
PuGa5Pd2
1.0
-2.021 3.548 5.136
2.021 -3.548 5.136
2.021 3.548 -5.136
Pu Ga Pd
1 5 2
direct
0.000 0.000 0.000
0.165 0.363 0.802
0.439 0.637 0.802
0.500 0.000 0.500
0.561 0.363 0.198
0.835 0.637 0.198
0.262 0.762 0.500
0.738 0.238 0.500
```

## Properties
* density of states at the Fermi level: 1.676 states/eV per atom
* total moment: 5.550 μB/cell
* formation energy from the elements: -10.25 kcal/mol of atoms
* crystal system: orthorhombic
* symmetry: No. 71


# 7
This record from the Alexandria database describes Pr4RhNCl2 after structural relaxation. The functional is PBE.

POSCAR file:
```
Pr4RhNCl2
1.0
7.057 0.000 0.000
0.000 3.832 0.000
-2.374 0.000 7.336
Pr Rh N Cl
4 1 1 2
direct
0.207 0.000 0.195
0.240 0.500 0.800
0.760 0.500 0.200
0.793 0.000 0.805
0.500 0.000 0.000
0.000 0.500 0.000
0.000 0.000 0.500
0.500 0.500 0.500
```

## Properties
* density of states at the Fermi level: 0.703 states/eV per atom
* total moment: 0.000 μB/cell
* crystal system: monoclinic
* formation energy without anion corrections: -1231.2 meV/atom
* symmetry: No. 10


# 8
This record from the Alexandria database describes Ac6LaPb2 after structural relaxation. The functional is PBE.

POSCAR file:
```
Ac6LaPb2
1.0
8.753 -6.334 0.000
8.753 6.334 0.000
-0.962 0.000 6.378
Ac La Pb
12 2 4
direct
0.056 0.826 0.971
0.137 0.390 0.168
0.174 0.944 0.529
0.270 0.505 0.699
0.390 0.137 0.668
0.495 0.730 0.801
0.505 0.270 0.199
0.610 0.863 0.332
0.730 0.495 0.301
0.826 0.056 0.471
0.863 0.610 0.832
0.944 0.174 0.029
0.360 0.640 0.250
0.640 0.360 0.750
0.018 0.290 0.596
0.290 0.018 0.096
0.710 0.982 0.904
0.982 0.710 0.404
```

## Properties
* density of states at the Fermi level: 1.165 states/eV per atom
* total moment: 0.000 μB/cell
* formation energy from the elements: -4.17 kcal/mol of atoms
* crystal system: monoclinic
* symmetry: No. 15